Record 1
VASP calculation (GGA-PBE) on crystalline HoPaCS2 at its relaxed geometry.

Lattice parameters (Å, degrees): 3.8599 3.8599 13.8243 90.00 90.00 90.00
Closest atoms and distances in Å follow each position.
Positions (direct):
Ho1 0.2500 0.2500 0.1173  5 S 2.58-2.75
Ho2 0.7500 0.7500 0.8827  5 S 2.58-2.75
Pa1 0.2500 0.2500 0.5899  4 C 2.30
Pa2 0.7500 0.7500 0.4101  4 C 2.30
C1 0.2500 0.7500 0.5000  4 Pa 2.30
C2 0.7500 0.2500 0.5000  4 Pa 2.30
S1 0.2500 0.2500 0.3038  1 Ho 2.58
S2 0.2500 0.2500 0.9078  5 Ho 2.75-2.90
S3 0.7500 0.7500 0.0922  5 Ho 2.75-2.90
S4 0.7500 0.7500 0.6962  1 Ho 2.58

The calculation puts the uncorrected formation energy at -1.386 eV/atom. The density of states at the Fermi level is 2.62 states/eV/f.u. The total magnetic moment is 0.00 μB per formula unit.

---

Record 2
VASP calculation (GGA-PBE) on crystalline HoPaCSe2 at its relaxed geometry.

Lattice parameters (Å, degrees): 3.9756 3.9756 14.4814 90.00 90.00 90.00
Closest atoms and distances in Å follow each position.
Positions (direct):
Ho1 0.2500 0.2500 0.1214  5 Se 2.69-2.85
Ho2 0.7500 0.7500 0.8786  5 Se 2.69-2.85
Pa1 0.2500 0.2500 0.5815  4 C 2.31
Pa2 0.7500 0.7500 0.4185  4 C 2.31
C1 0.2500 0.7500 0.5000  4 Pa 2.31
C2 0.7500 0.2500 0.5000  4 Pa 2.31
Se1 0.2500 0.2500 0.3069  1 Ho 2.69
Se2 0.2500 0.2500 0.9093  5 Ho 2.85-3.07
Se3 0.7500 0.7500 0.0907  5 Ho 2.85-3.07
Se4 0.7500 0.7500 0.6931  1 Ho 2.69

The calculation puts the uncorrected formation energy at -1.263 eV/atom. The density of states at the Fermi level is 2.59 states/eV/f.u. The total magnetic moment is 0.00 μB per formula unit.

---

Record 3
VASP calculation (GGA-PBE) on crystalline HoPa2SiC4 at its relaxed geometry.

Lattice parameters (Å, degrees): 6.0782 6.0782 11.7818 90.00 90.00 146.18
Closest atoms and distances in Å follow each position.
Positions (direct):
Ho1 0.1035 0.8965 0.7500  6 C 2.74
Ho2 0.8965 0.1035 0.2500  6 C 2.74
Pa1 0.3699 0.6301 0.5508  6 C 2.40-2.55
Pa2 0.3699 0.6301 0.9492  6 C 2.40-2.55
Pa3 0.6301 0.3699 0.0508  6 C 2.40-2.55
Pa4 0.6301 0.3699 0.4492  6 C 2.40-2.55
Si1 0.1662 0.8338 0.2500  4 C 1.87-2.05
Si2 0.8338 0.1662 0.7500  4 C 1.87-2.05
C1 0.0000 0.0000 0.0000  4 Pa 2.40
C2 0.0000 0.0000 0.5000  4 Pa 2.40
C3 0.2676 0.7324 0.1263  1 Si 1.87
C4 0.2676 0.7324 0.3737  1 Si 1.87
C5 0.4237 0.5763 0.7500  2 Si 2.05
C6 0.5763 0.4237 0.2500  2 Si 2.05
C7 0.7324 0.2676 0.6263  1 Si 1.87
C8 0.7324 0.2676 0.8737  1 Si 1.87

The calculation puts the uncorrected formation energy at -0.248 eV/atom. The density of states at the Fermi level is 2.06 states/eV/f.u. The total magnetic moment is 0.00 μB per formula unit.

---

Record 4
VASP calculation (GGA-PBE) on crystalline HoPa2TaC4 at its relaxed geometry.

Lattice parameters (Å, degrees): 6.9520 6.9520 6.9520 120.66 119.48 89.88
Closest atoms and distances in Å follow each position.
Positions (direct):
Ho1 0.0000 0.0000 0.0000  6 C 2.48-2.50
Ho2 0.5000 0.0000 0.5000  6 C 2.48-2.50
Pa1 0.0000 0.5000 0.5000  6 C 2.42-2.45
Pa2 0.5000 0.0000 0.0000  6 C 2.55-2.58
Pa3 0.5000 0.5000 0.0000  6 C 2.42-2.45
Pa4 0.5000 0.5000 0.5000  6 C 2.55-2.58
Ta1 0.0000 0.0000 0.5000  6 C 2.34-2.36
Ta2 0.0000 0.5000 0.0000  6 C 2.34-2.36
C1 0.2292 0.7486 0.4806  2 Ta 2.36, 3 Pa 2.45-2.55, 1 Ho 2.48
C2 0.2320 0.2514 0.9806  2 Ta 2.36, 3 Pa 2.45-2.55, 1 Ho 2.48
C3 0.2378 0.2464 0.5086  1 Ta 2.34, 3 Pa 2.42-2.58, 2 Ho 2.50
C4 0.2378 0.7292 0.9914  1 Ta 2.34, 3 Pa 2.42-2.58, 2 Ho 2.50
C5 0.7622 0.2708 0.0086  1 Ta 2.34, 3 Pa 2.42-2.58, 2 Ho 2.50
C6 0.7622 0.7536 0.4914  1 Ta 2.34, 3 Pa 2.42-2.58, 2 Ho 2.50
C7 0.7680 0.7486 0.0194  2 Ta 2.36, 3 Pa 2.45-2.55, 1 Ho 2.48
C8 0.7708 0.2514 0.5194  2 Ta 2.36, 3 Pa 2.45-2.55, 1 Ho 2.48

Its formation energy from the elements is -3.6 eV/f.u. The density of states at the Fermi level is 4.74 states/eV/f.u. The total magnetic moment is 0.00 μB per formula unit.

---

Record 5
VASP calculation (GGA-PBE) on crystalline HoPa2TcC4 at its relaxed geometry.

Lattice parameters (Å, degrees): 6.1662 6.1662 11.8406 90.00 90.00 146.22
Closest atoms and distances in Å follow each position.
Positions (direct):
Ho1 0.1242 0.8758 0.7500  6 C 2.65-2.83
Ho2 0.8758 0.1242 0.2500  6 C 2.65-2.83
Pa1 0.3678 0.6322 0.5430  6 C 2.38-2.59
Pa2 0.3678 0.6322 0.9570  6 C 2.38-2.59
Pa3 0.6322 0.3678 0.0430  6 C 2.38-2.59
Pa4 0.6322 0.3678 0.4570  6 C 2.38-2.59
Tc1 0.1404 0.8596 0.2500  4 C 2.02-2.04
Tc2 0.8596 0.1404 0.7500  4 C 2.02-2.04
C1 0.0000 0.0000 0.0000  4 Pa 2.43
C2 0.0000 0.0000 0.5000  4 Pa 2.43
C3 0.2630 0.7370 0.1288  1 Tc 2.04
C4 0.2630 0.7370 0.3712  1 Tc 2.04
C5 0.4386 0.5614 0.7500  2 Tc 2.02
C6 0.5614 0.4386 0.2500  2 Tc 2.02
C7 0.7370 0.2630 0.6288  1 Tc 2.04
C8 0.7370 0.2630 0.8712  1 Tc 2.04

Its formation energy from the elements is -1.2 eV/f.u. The density of states at the Fermi level is 4.20 states/eV/f.u. The total magnetic moment is 0.00 μB per formula unit.

---

Record 6
VASP calculation (GGA-PBE) on crystalline HoPaTcC3 at its relaxed geometry.

Lattice parameters (Å, degrees): 7.2258 3.5945 7.6666 90.00 91.68 90.00
Closest atoms and distances in Å follow each position.
Positions (direct):
Ho1 0.1464 0.2500 0.1602  5 C 2.41-2.69
Ho2 0.8536 0.7500 0.8398  5 C 2.41-2.69
Pa1 0.3792 0.7500 0.8270  5 C 2.30-2.55
Pa2 0.6208 0.2500 0.1730  5 C 2.30-2.55
Tc1 0.1007 0.2500 0.5911  4 C 1.96-2.07
Tc2 0.8993 0.7500 0.4089  4 C 1.96-2.07
C1 0.1304 0.2500 0.8459  1 Tc 1.96
C2 0.1707 0.7500 0.5036  3 Tc 1.99-2.07
C3 0.4013 0.7500 0.1272  3 Pa 2.30-2.42
C4 0.5987 0.2500 0.8728  3 Pa 2.30-2.42
C5 0.8293 0.2500 0.4964  3 Tc 1.99-2.07
C6 0.8696 0.7500 0.1541  1 Tc 1.96

Its formation energy from the elements is -0.4 eV/f.u. The density of states at the Fermi level is 2.91 states/eV/f.u. The total magnetic moment is 0.00 μB per formula unit.

---

Record 7
VASP calculation (GGA-PBE) on crystalline HoPaTe2C at its relaxed geometry.

Lattice parameters (Å, degrees): 4.1398 4.1398 15.7101 90.00 90.00 90.00
Closest atoms and distances in Å follow each position.
Positions (direct):
Ho1 0.2500 0.2500 0.1313  5 Te 2.89-3.02
Ho2 0.7500 0.7500 0.8687  5 Te 2.89-3.02
Pa1 0.2500 0.2500 0.5694  4 C 2.34
Pa2 0.7500 0.7500 0.4306  4 C 2.34
Te1 0.2500 0.2500 0.3155  1 Ho 2.89
Te2 0.2500 0.2500 0.9161  5 Ho 3.02-3.38
Te3 0.7500 0.7500 0.0839  5 Ho 3.02-3.38
Te4 0.7500 0.7500 0.6845  1 Ho 2.89
C1 0.2500 0.7500 0.5000  4 Pa 2.34
C2 0.7500 0.2500 0.5000  4 Pa 2.34

The calculation puts the uncorrected formation energy at -0.933 eV/atom. The density of states at the Fermi level is 1.79 states/eV/f.u. The total magnetic moment is 0.00 μB per formula unit.

---

Record 8
VASP calculation (GGA-PBE) on crystalline HoThPa2C4 at its relaxed geometry.

Lattice parameters (Å, degrees): 6.3016 3.6586 6.3341 90.00 109.71 90.00
Closest atoms and distances in Å follow each position.
Positions (direct):
Ho1 0.0000 0.0000 0.0000  6 C 2.66
Th1 0.0000 0.5000 0.5000  6 C 2.66-2.67
Pa1 0.5000 0.0000 0.5000  6 C 2.50-2.51
Pa2 0.5000 0.5000 0.0000  6 C 2.50-2.51
C1 0.2744 0.0000 0.7594  3 Pa 2.50-2.51, 1 Ho 2.66, 2 Th 2.67
C2 0.2738 0.5000 0.2583  3 Pa 2.50-2.51, 2 Ho 2.66, 1 Th 2.66
C3 0.7256 0.0000 0.2406  3 Pa 2.50-2.51, 1 Ho 2.66, 2 Th 2.67
C4 0.7262 0.5000 0.7417  3 Pa 2.50-2.51, 2 Ho 2.66, 1 Th 2.66

Its formation energy from the elements is -3.1 eV/f.u. The density of states at the Fermi level is 3.69 states/eV/f.u. The total magnetic moment is 0.00 μB per formula unit.

---

Record 9
VASP calculation (GGA-PBE) on crystalline HoPaTlC at its relaxed geometry.

Lattice parameters (Å, degrees): 8.5405 8.5405 8.5405 23.73 23.73 23.73
Closest atoms and distances in Å follow each position.
Positions (direct):
Ho1 0.0000 0.0000 0.0000  3 C 2.48
Pa1 0.7780 0.7780 0.7780  3 C 2.43
Tl1 0.2251 0.2251 0.2251  3 Ho 3.37, 3 Pa 3.48, 6 Tl 3.51
C1 0.3908 0.3908 0.3908  3 Pa 2.43, 3 Ho 2.48

Its formation energy from the elements is -1.3 eV/f.u. The density of states at the Fermi level is 4.09 states/eV/f.u. The total magnetic moment is 0.00 μB per formula unit.

---

Record 10
VASP calculation (GGA-PBE) on crystalline HoTmPa2C4 at its relaxed geometry.

Lattice parameters (Å, degrees): 6.1561 3.6206 6.2685 90.00 109.86 90.00
Closest atoms and distances in Å follow each position.
Positions (direct):
Ho1 0.0000 0.0000 0.0000  6 C 2.61
Tm1 0.0000 0.5000 0.5000  6 C 2.61
Pa1 0.5000 0.0000 0.5000  6 C 2.47-2.48
Pa2 0.5000 0.5000 0.0000  6 C 2.48
C1 0.2696 0.0000 0.7559  3 Pa 2.48, 2 Tm 2.61, 1 Ho 2.61
C2 0.2708 0.5000 0.2579  3 Pa 2.47-2.48, 1 Tm 2.61, 2 Ho 2.61
C3 0.7292 0.5000 0.7421  3 Pa 2.47-2.48, 1 Tm 2.61, 2 Ho 2.61
C4 0.7304 0.0000 0.2441  3 Pa 2.48, 2 Tm 2.61, 1 Ho 2.61

Its formation energy from the elements is -3.4 eV/f.u. The density of states at the Fermi level is 2.01 states/eV/f.u. The total magnetic moment is 0.00 μB per formula unit.

---

Record 11
VASP calculation (GGA-PBE) on crystalline HoTm2PaC4 at its relaxed geometry.

Lattice parameters (Å, degrees): 6.1593 3.5660 6.1723 90.00 110.05 90.00
Closest atoms and distances in Å follow each position.
Positions (direct):
Ho1 0.0000 0.0000 0.0000  6 C 2.52-2.54
Tm1 0.5000 0.0000 0.5000  6 C 2.50-2.52
Tm2 0.5000 0.5000 0.0000  6 C 2.57-2.58
Pa1 0.0000 0.5000 0.5000  6 C 2.44-2.48
C1 0.2363 0.0000 0.7343  2 Pa 2.44, 3 Tm 2.52-2.58, 1 Ho 2.54
C2 0.2471 0.5000 0.2566  1 Pa 2.48, 3 Tm 2.50-2.57, 2 Ho 2.52
C3 0.7529 0.5000 0.7434  1 Pa 2.48, 3 Tm 2.50-2.57, 2 Ho 2.52
C4 0.7637 0.0000 0.2657  2 Pa 2.44, 3 Tm 2.52-2.58, 1 Ho 2.54

Its formation energy from the elements is -2.0 eV/f.u. The density of states at the Fermi level is 9.82 states/eV/f.u. The total magnetic moment is 0.00 μB per formula unit.

---

Record 12
VASP calculation (GGA-PBE) on crystalline HoU2PaC4 at its relaxed geometry.

Lattice parameters (Å, degrees): 6.0711 3.5592 6.1645 90.00 109.93 90.00
Closest atoms and distances in Å follow each position.
Positions (direct):
Ho1 0.0000 0.0000 0.0000  6 C 2.59-2.61
U1 0.5000 0.0000 0.5000  6 C 2.40-2.42
U2 0.5000 0.5000 0.0000  6 C 2.44
Pa1 0.0000 0.5000 0.5000  6 C 2.57-2.58
C1 0.2717 0.0000 0.7545  3 U 2.42-2.44, 2 Pa 2.57, 1 Ho 2.59
C2 0.2789 0.5000 0.2646  3 U 2.40-2.44, 1 Pa 2.58, 2 Ho 2.61
C3 0.7211 0.5000 0.7354  3 U 2.40-2.44, 1 Pa 2.58, 2 Ho 2.61
C4 0.7283 0.0000 0.2455  3 U 2.42-2.44, 2 Pa 2.57, 1 Ho 2.59

Its formation energy from the elements is -2.2 eV/f.u. The density of states at the Fermi level is 7.85 states/eV/f.u. The total magnetic moment is 0.00 μB per formula unit.